DFT (GGA-PBE) results for a relaxed Ac2Al3 crystal.

## Properties
DFT formation energy: -0.361 eV per atom
E above lowest polymorph: 0.000 eV/atom
mass density: 5972 kg/m³

Cell: 4.7486 4.4865 14.1638 Å, 90.00 99.65 90.00°
Sites, in units of the cell vectors:
Al: 0.0233 0.2500 0.0466
Al: 0.1166 0.2500 0.2332
Al: 0.8323 0.2500 0.6647
Al: 0.1677 0.7500 0.3353
Ac: 0.7031 0.2500 0.4062
Ac: 0.4290 0.2500 0.8580
Ac: 0.2969 0.7500 0.5938
Al: 0.8834 0.7500 0.7668
Ac: 0.5710 0.7500 0.1420
Al: 0.9767 0.7500 0.9534

=====

DFT (GGA-PBE) results for a relaxed Pr5Sb2 crystal.

## Properties
formation energy from raw total energies: -0.654 eV/atom
mass density: 6731 kg/m³

Cell: 6.4441 8.6763 9.0085 Å, 95.64 110.96 90.00°
Sites, in units of the cell vectors:
Pr: 0.8018 0.3259 0.4625
Sb: 0.2238 0.4207 0.7930
Sb: 0.4308 0.0793 0.2070
Sb: 0.7762 0.5793 0.2070
Pr: 0.1982 0.6741 0.5375
Pr: 0.7662 0.5716 0.8173
Pr: 0.2338 0.4284 0.1827
Pr: 0.0511 0.0716 0.8173
Pr: 0.3392 0.1741 0.5375
Sb: 0.5692 0.9207 0.7930
Pr: 0.6520 0.2500 0.0000
Pr: 0.3480 0.7500 0.0000
Pr: 0.6608 0.8259 0.4625
Pr: 0.9489 0.9284 0.1827

=====

DFT (GGA-PBE) results for a relaxed GdTiCuNi crystal.

## Properties
DFT formation energy: -0.072 eV per atom
mass density: 7808 kg/m³

Cell: 4.6175 4.6175 4.6175 Å, 60.00 60.00 60.00°
Sites, in units of the cell vectors:
Ni: 0.0000 0.0000 0.0000
Ti: 0.2500 0.2500 0.2500
Cu: 0.5000 0.5000 0.5000
Gd: 0.7500 0.7500 0.7500

=====

DFT (GGA-PBE) results for a relaxed GaNF crystal.

## Properties
E above lowest polymorph: 0.103 eV/atom
formation energy from raw total energies: -0.933 eV/atom
mass density: 5368 kg/m³

Cell: 3.3599 4.4180 4.6288 Å, 92.98 90.11 112.11°
Sites, in units of the cell vectors:
N: 0.2656 0.3106 0.0009
F: 0.8505 0.4749 0.4976
Ga: 0.1806 0.1406 0.5902
Ga: 0.8987 0.5798 0.0774
F: 0.5575 0.8895 0.6909
N: 0.1335 0.0342 0.1886